(1)
# PBE-GGA ReHgAsIr2, relaxed
# E: -5.3216 eV per atom
# magnetic moment: 0.79 μB per atom
# ΔH_f (0 K): 1.70 eV per atom
data_ReHgAsIr2
_cell_length_a 4.538
_cell_length_b 4.538
_cell_length_c 5.008
_cell_angle_alpha 90.00
_cell_angle_beta 90.00
_cell_angle_gamma 90.00
_symmetry_space_group_name_H-M 'P 4/m m m'
_symmetry_Int_Tables_number 123
_symmetry_space_group_name_Hall '-P 4 2'
loop_
_atom_site_label
_atom_site_fract_x
_atom_site_fract_y
_atom_site_fract_z
Re1 0.000 0.000 0.000
Hg1 0.500 0.500 0.000
As1 0.500 0.500 0.500
Ir1 0.000 0.500 0.500

***

(2)
# PBE-GGA ZrAg, relaxed
# E: -5.4238 eV per atom
# magnetic moment: 0.00 μB per atom
# ΔH_f (0 K): 0.28 eV per atom
data_ZrAg
_cell_length_a 4.6865
_cell_length_b 4.6865
_cell_length_c 9.0900
_cell_angle_alpha 90.00
_cell_angle_beta 90.00
_cell_angle_gamma 120.00
_symmetry_space_group_name_H-M 'P 63/m m c'
_symmetry_Int_Tables_number 194
_symmetry_space_group_name_Hall '-P 6c 2c'
loop_
_atom_site_label
_atom_site_fract_x
_atom_site_fract_y
_atom_site_fract_z
Zr1 0.3333 0.6667 0.0975
Ag1 0.0000 0.0000 0.2500
Ag2 0.3333 0.6667 0.7500

***

(3)
# PBE-GGA GdDyAlGa, relaxed
# E: -6.8432 eV per atom
# magnetic moment: 1.77 μB per atom
# ΔH_f (0 K): -0.48 eV per atom
data_GdDyAlGa
_cell_length_a 7.212
_cell_length_b 7.212
_cell_length_c 7.212
_cell_angle_alpha 90.00
_cell_angle_beta 90.00
_cell_angle_gamma 90.00
_symmetry_space_group_name_H-M 'F -4 3 m'
_symmetry_Int_Tables_number 216
_symmetry_space_group_name_Hall 'F -4 2 3'
loop_
_atom_site_label
_atom_site_fract_x
_atom_site_fract_y
_atom_site_fract_z
Gd1 0.000 0.000 0.000
Dy1 0.000 0.000 0.500
Al1 0.250 0.250 0.250
Ga1 0.250 0.250 0.750

***

(4)
# PBE-GGA ScCd2Fe, relaxed
# E: -4.1391 eV per atom
# magnetic moment: 0.42 μB per atom
# ΔH_f (0 K): 0.02 eV per atom
data_ScCd2Fe
_cell_length_a 3.253
_cell_length_b 3.253
_cell_length_c 7.202
_cell_angle_alpha 90.00
_cell_angle_beta 90.00
_cell_angle_gamma 90.00
_symmetry_space_group_name_H-M 'P 4 m m'
_symmetry_Int_Tables_number 99
loop_
_symmetry_equiv_pos_as_xyz
'x,y,z'
'-y,x,z'
'-x,-y,z'
'y,-x,z'
'-x,y,z'
'y,x,z'
'x,-y,z'
'-y,-x,z'
loop_
_atom_site_label
_atom_site_fract_x
_atom_site_fract_y
_atom_site_fract_z
Sc1 0.000 0.000 0.000
Cd1 0.000 0.000 0.574
Cd2 0.500 0.500 0.296
Fe1 0.500 0.500 0.802

***

(5)
# PBE-GGA NbSiBi2F, relaxed
# E: -4.7877 eV per atom
# formation energy (no corrections): 0.238 eV per atom
# magnetic moment: 0.36 μB per atom
data_NbSiBi2F
_cell_length_a 5.021
_cell_length_b 5.021
_cell_length_c 4.329
_cell_angle_alpha 90.00
_cell_angle_beta 90.00
_cell_angle_gamma 90.00
_symmetry_space_group_name_H-M 'P 4/m m m'
_symmetry_Int_Tables_number 123
_symmetry_space_group_name_Hall '-P 4 2'
loop_
_atom_site_label
_atom_site_fract_x
_atom_site_fract_y
_atom_site_fract_z
Nb1 0.000 0.000 0.000
Si1 0.500 0.500 0.000
Bi1 0.000 0.500 0.500
F1 0.500 0.500 0.500

***

(6)
# PBE-GGA LiAl2TlI8, relaxed
# E: -2.7561 eV per atom
# formation energy (no corrections): -0.742 eV per atom
# magnetic moment: 0.00 μB per atom
data_LiAl2TlI8
_cell_length_a 7.4014
_cell_length_b 7.4014
_cell_length_c 10.4877
_cell_angle_alpha 90.00
_cell_angle_beta 90.00
_cell_angle_gamma 120.00
_symmetry_space_group_name_H-M 'P -3'
_symmetry_Int_Tables_number 147
loop_
_symmetry_equiv_pos_as_xyz
'x,y,z'
'-x,-y,-z'
'-y,x-y,z'
'y,-x+y,-z'
'-x+y,-x,z'
'x-y,x,-z'
loop_
_atom_site_label
_atom_site_fract_x
_atom_site_fract_y
_atom_site_fract_z
Li1 0.0000 0.0000 0.0000
Al1 0.3333 0.6667 0.2496
Tl1 0.0000 0.0000 0.5000
I1 0.0092 0.3269 0.1779
I2 0.3333 0.6667 0.4939

***

(7)
# PBE-GGA Ca3Tl5Br12, relaxed
# E: -3.0282 eV per atom
# formation energy (no corrections): -1.133 eV per atom
# magnetic moment: 0.00 μB per atom
# distance to the lowest polymorph of the same formula: 0.2064 eV/atom
data_Ca3Tl5Br12
_cell_length_a 18.481
_cell_length_b 18.481
_cell_length_c 18.481
_cell_angle_alpha 90.00
_cell_angle_beta 90.00
_cell_angle_gamma 90.00
_symmetry_space_group_name_H-M 'I a -3 d'
_symmetry_Int_Tables_number 230
_symmetry_space_group_name_Hall '-I 4bd 2c 3'
loop_
_atom_site_label
_atom_site_fract_x
_atom_site_fract_y
_atom_site_fract_z
Ca1 0.000 0.250 0.125
Tl1 0.000 0.000 0.000
Tl2 0.000 0.250 0.375
Br1 0.006 0.067 0.658

***

(8)
# PBE-GGA CdPtPb2, relaxed
# E: -3.5012 eV per atom
# magnetic moment: 0.00 μB per atom
# ΔH_f (0 K): 0.09 eV per atom
data_CdPtPb2
_cell_length_a 4.553
_cell_length_b 4.553
_cell_length_c 9.210
_cell_angle_alpha 90.00
_cell_angle_beta 90.00
_cell_angle_gamma 90.00
_symmetry_space_group_name_H-M 'I -4 m 2'
_symmetry_Int_Tables_number 119
_symmetry_space_group_name_Hall 'I -4 -2'
loop_
_atom_site_label
_atom_site_fract_x
_atom_site_fract_y
_atom_site_fract_z
Cd1 0.000 0.000 0.000
Pt1 0.000 0.500 0.250
Pb1 0.000 0.000 0.500
Pb2 0.000 0.500 0.750